Record 1
Sc8Mo: relaxed, GGA-PBE.

Cell lengths 9.4256, 9.4256, 4.6117 Å; angles 90.00, 90.00, 90.00 degrees
Closest atoms and distances in Å follow each position.
Space group I4/mmm (No. 139)
Asymmetric unit:
Sc1 0.0000 0.3202 0.0000  1 Mo 3.02, 10 Sc 3.14-3.33
Sc2 0.1570 0.1570 0.5000  8 Sc 2.96-3.24, 2 Mo 3.11
Mo1 0.0000 0.0000 0.0000  12 Sc 3.02-3.11

Output
Formation energy from the elements ... 91 meV/atom
Spin magnetization ... 0.00 Bohr magnetons per cell

Record 2
Sc2Mo3: relaxed, GGA-PBE.

Cell lengths 9.9004, 13.9698, 5.5667 Å; angles 90.00, 90.00, 90.00 degrees
Closest atoms and distances in Å follow each position.
Space group Fdd2 (No. 43)
Asymmetric unit:
Sc1 0.0661 0.1961 0.0000  8 Mo 2.89-3.16
Mo1 0.0000 0.0000 0.1931  4 Mo 2.47-2.66
Mo2 0.0706 0.1115 0.5130  2 Mo 2.47-2.66

Output
Formation energy from the elements ... 235 meV/atom
Spin magnetization ... 0.00 Bohr magnetons per cell

Record 3
ScMo2: relaxed, GGA-PBE.

Cell lengths 3.0772, 3.0772, 23.8036 Å; angles 90.00, 90.00, 90.00 degrees
Closest atoms and distances in Å follow each position.
Space group I4_1/amd (No. 141, origin choice 2)
Asymmetric unit:
Sc1 0.0000 0.2500 0.3750  8 Mo 2.98, 4 Sc 3.08
Mo1 0.0000 0.2500 0.7894  2 Mo 2.42

Output
Formation energy from the elements ... 523 meV/atom
Spin magnetization ... 0.00 Bohr magnetons per cell

Record 4
Sc4Mo: relaxed, GGA-PBE.

Cell lengths 7.8757, 7.8757, 3.5731 Å; angles 90.00, 90.00, 90.00 degrees
Closest atoms and distances in Å follow each position.
Space group I4/m (No. 87)
Asymmetric unit:
Sc1 0.0798 0.2691 0.0000  2 Mo 2.84, 2 Sc 3.13
Mo1 0.0000 0.0000 0.5000  8 Sc 2.84

Output
Energy relative to the lowest polymorph listed for this composition ... 0.000 eV per atom
Formation energy from the elements ... 111 meV/atom
Spin magnetization ... 0.28 Bohr magnetons per cell

Record 5
ScMo2: relaxed, GGA-PBE.

Cell lengths 2.9510, 4.8520, 15.7825 Å; angles 90.00, 90.00, 90.00 degrees
Closest atoms and distances in Å follow each position.
Space group Imma (No. 74)
Asymmetric unit:
Sc1 0.0000 0.2500 0.1420  6 Mo 2.91-3.05, 2 Sc 2.95
Mo1 0.0000 0.2500 0.5270  3 Mo 2.46-2.57
Mo2 0.0000 0.2500 0.6828  3 Mo 2.46-2.58

Output
Formation energy from the elements ... 417 meV/atom
Spin magnetization ... 0.00 Bohr magnetons per cell

Record 6
ScMo2: relaxed, GGA-PBE.

Cell lengths 4.6377, 4.6377, 5.9637 Å; angles 90.00, 90.00, 120.00 degrees
Closest atoms and distances in Å follow each position.
Space group P6_3/mmc (No. 194)
Asymmetric unit:
Sc1 0.0000 0.0000 0.2500  12 Mo 2.96-3.19, 2 Sc 2.98
Mo1 0.3333 0.6667 0.0399  4 Mo 2.51-2.72

Output
Formation energy from the elements ... 257 meV/atom
Spin magnetization ... 0.00 Bohr magnetons per cell

Record 7
ScMo2: relaxed, GGA-PBE.

Cell lengths 2.7506, 7.9209, 4.7850 Å; angles 90.00, 90.00, 90.00 degrees
Closest atoms and distances in Å follow each position.
Space group Pnnm (No. 58)
Asymmetric unit:
Sc1 0.0000 0.0000 0.0000  6 Mo 2.72-2.92, 2 Sc 2.75
Mo1 0.0972 0.3423 0.0000  3 Mo 2.55-2.75, 1 Sc 2.72

Output
Formation energy from the elements ... 215 meV/atom
Spin magnetization ... 0.00 Bohr magnetons per cell

Record 8
Sc5Mo: relaxed, GGA-PBE.

Cell lengths 8.1172, 8.1172, 8.1172 Å; angles 90.00, 90.00, 90.00 degrees
Closest atoms and distances in Å follow each position.
Space group F-43m (No. 216)
Asymmetric unit:
Sc1 0.0000 0.0000 0.0000  12 Sc 3.37, 4 Mo 3.51
Sc2 0.1232 0.1232 0.6232  6 Sc 2.83-2.91
Mo1 0.2500 0.2500 0.2500  16 Sc 3.36-3.51

Output
Energy relative to the lowest polymorph listed for this composition ... 0.468 eV per atom
Formation energy from the elements ... 547 meV/atom
Spin magnetization ... 6.98 Bohr magnetons per cell

Record 9
ScMo2: relaxed, GGA-PBE.

Cell lengths 10.2402, 3.2222, 6.6347 Å; angles 90.00, 108.90, 90.00 degrees
Closest atoms and distances in Å follow each position.
Space group C2/m (No. 12)
Asymmetric unit:
Sc1 0.1655 0.0000 0.3182  6 Mo 2.76-2.89, 2 Sc 2.95
Mo1 0.0000 0.5000 0.0000  4 Mo 2.70, 4 Sc 2.76
Mo2 0.0000 0.5000 0.5000  4 Mo 2.81, 4 Sc 2.87
Mo3 0.1547 0.0000 0.8411  6 Mo 2.70-2.86, 2 Sc 2.89

Output
Formation energy from the elements ... 114 meV/atom
Spin magnetization ... 0.00 Bohr magnetons per cell

Record 10
Sc3Mo2: relaxed, GGA-PBE.

Cell lengths 3.0497, 3.0497, 36.7039 Å; angles 90.00, 90.00, 120.00 degrees
Closest atoms and distances in Å follow each position.
Space group R-3m (No. 166, hexagonal axes)
Asymmetric unit:
Sc1 0.0000 0.0000 0.0000  6 Mo 2.95, 6 Sc 3.05
Sc2 0.0000 0.0000 0.2061  3 Mo 2.90, 6 Sc 3.05
Mo1 0.0000 0.0000 0.3979  6 Sc 2.90-2.95, 6 Mo 3.05

Output
Energy relative to the lowest polymorph listed for this composition ... 0.070 eV per atom
Formation energy from the elements ... 337 meV/atom
Spin magnetization ... 0.00 Bohr magnetons per cell

Record 11
Sc3Mo: relaxed, GGA-PBE.

Cell lengths 3.5172, 3.5172, 6.8540 Å; angles 90.00, 90.00, 90.00 degrees
Closest atoms and distances in Å follow each position.
Space group P4/mmm (No. 123)
Asymmetric unit:
Sc1 0.0000 0.0000 0.0000  12 Sc 3.19-3.52, 2 Mo 3.43
Sc2 0.5000 0.5000 0.2910  5 Sc 2.87-3.19, 4 Mo 2.87
Mo1 0.0000 0.0000 0.5000  8 Sc 2.87

Output
Energy relative to the lowest polymorph listed for this composition ... 0.074 eV per atom
Formation energy from the elements ... 139 meV/atom
Spin magnetization ... 0.00 Bohr magnetons per cell

Record 12
Sc5Mo: relaxed, GGA-PBE.

Cell lengths 5.1283, 15.5223, 3.3844 Å; angles 90.00, 90.00, 90.00 degrees
Closest atoms and distances in Å follow each position.
Space group Cmmm (No. 65)
Asymmetric unit:
Sc1 0.0000 0.0000 0.0000  4 Mo 3.07, 10 Sc 3.29-3.38
Sc2 0.0000 0.1821 0.5000  12 Sc 3.16-3.38
Sc3 0.0000 0.3645 0.0000  2 Mo 2.70
Mo1 0.0000 0.5000 0.5000  4 Sc 2.70

Output
Energy relative to the lowest polymorph listed for this composition ... 0.047 eV per atom
Formation energy from the elements ... 125 meV/atom
Spin magnetization ... 0.01 Bohr magnetons per cell